Arrangement a

Entry from Alexandria: a relaxed structure of Ca2SiB (PBE).

Unit cell a=4.8805 b=4.8805 c=4.8805 alpha=60.00 beta=60.00 gamma=60.00
Last column: nearest neighbours and their distance in Å.
Fractional positions:
Ca  0.2500  0.2500  0.2500  4 Si 2.99, 4 B 2.99
Ca  0.7500  0.7500  0.7500  4 Si 2.99, 4 B 2.99
B  0.0000  0.0000  0.0000  8 Ca 2.99
Si  0.5000  0.5000  0.5000  8 Ca 2.99

Calculated values
N(E_F)	2.26	states/eV per cell
space-group type	Fm-3m, No. 225
magnetization	0.0	μB per formula unit

Arrangement b

Entry from Alexandria: a relaxed structure of Ca2SiB (PBE).

Unit cell a=7.5931 b=7.5931 c=6.2332 alpha=52.48 beta=52.48 gamma=90.00
Last column: nearest neighbours and their distance in Å.
Fractional positions:
Ca  0.5887  0.1250  0.2500  2 B 2.62
Ca  0.1613  0.6250  0.2500  2 B 2.62
Ca  0.3750  0.4113  0.7500  2 B 2.62
Ca  0.8750  0.8387  0.7500  2 B 2.62
B  0.5000  0.5000  0.0000  4 Ca 2.62
B  0.2500  0.7500  0.5000  4 Ca 2.62
Si  0.0000  0.0000  0.0000  4 Ca 2.99, 2 B 3.17
Si  0.7500  0.2500  0.5000  4 Ca 2.99, 2 B 3.17

Calculated values
N(E_F)	6.30	states/eV per cell
space-group type	I-42d, No. 122
magnetization	0.0	μB per formula unit

Short version: arrangement a, arrangement b, most stable first.

Arrangement a

Entry from Alexandria: a relaxed structure of CaSn3B (PBE).

Unit cell a=4.9901 b=4.9901 c=4.9901 alpha=90.00 beta=90.00 gamma=90.00
Last column: nearest neighbours and their distance in Å.
Fractional positions:
Ca  0.5000  0.5000  0.5000  12 Sn 3.53
B  0.0000  0.0000  0.0000  6 Sn 2.50
Sn  0.0000  0.5000  0.0000  2 B 2.50
Sn  0.0000  0.0000  0.5000  2 B 2.50
Sn  0.5000  0.0000  0.0000  2 B 2.50

Calculated values
N(E_F)	2.18	states/eV per cell
space-group type	Pm-3m, No. 221
magnetization	0.0	μB per formula unit

Arrangement b

Entry from Alexandria: a relaxed structure of CaSn3B (PBE).

Unit cell a=5.7582 b=5.7582 c=5.7582 alpha=90.00 beta=90.00 gamma=90.00
Last column: nearest neighbours and their distance in Å.
Fractional positions:
Ca  0.0000  0.0000  0.0000  6 Sn 2.88
B  0.5000  0.5000  0.5000  12 Sn 4.07
Sn  0.0000  0.5000  0.0000  2 Ca 2.88
Sn  0.0000  0.0000  0.5000  2 Ca 2.88
Sn  0.5000  0.0000  0.0000  2 Ca 2.88

Calculated values
N(E_F)	5.73	states/eV per cell
space-group type	Pm-3m, No. 221
magnetization	0.0	μB per formula unit

Short version: arrangement a, arrangement b, most stable first.

Arrangement a

Entry from Alexandria: a relaxed structure of SrCa3B (PBE).

Unit cell a=6.3429 b=6.3429 c=6.3429 alpha=90.00 beta=90.00 gamma=90.00
Last column: nearest neighbours and their distance in Å.
Fractional positions:
Sr  0.0000  0.0000  0.0000  6 Ca 3.17
Ca  0.0000  0.5000  0.0000  2 Sr 3.17
Ca  0.0000  0.0000  0.5000  2 Sr 3.17
Ca  0.5000  0.0000  0.0000  2 Sr 3.17
B  0.5000  0.5000  0.5000  12 Ca 4.49

Calculated values
N(E_F)	6.97	states/eV per cell
space-group type	Pm-3m, No. 221
magnetization	2.9	μB per formula unit

Arrangement b

Entry from Alexandria: a relaxed structure of SrCa3B (PBE).

Unit cell a=5.5600 b=5.5600 c=5.5600 alpha=90.00 beta=90.00 gamma=90.00
Last column: nearest neighbours and their distance in Å.
Fractional positions:
Sr  0.5000  0.5000  0.5000  12 Ca 3.93
Ca  0.0000  0.5000  0.0000  2 B 2.78
Ca  0.0000  0.0000  0.5000  2 B 2.78
Ca  0.5000  0.0000  0.0000  2 B 2.78
B  0.0000  0.0000  0.0000  6 Ca 2.78

Calculated values
N(E_F)	4.75	states/eV per cell
space-group type	Pm-3m, No. 221
magnetization	0.0	μB per formula unit

Short version: arrangement b, arrangement a, most stable first.

Arrangement a

Entry from Alexandria: a relaxed structure of SrCaB2 (PBE).

Unit cell a=7.3668 b=7.3668 c=6.2854 alpha=54.13 beta=54.13 gamma=90.00
Last column: nearest neighbours and their distance in Å.
Fractional positions:
Sr  0.0000  0.0000  0.0000  4 B 2.87
Sr  0.7500  0.2500  0.5000  4 B 2.87
Ca  0.5000  0.5000  0.0000  4 B 2.64
Ca  0.2500  0.7500  0.5000  4 B 2.64
B  0.6014  0.1250  0.2500  2 Ca 2.64, 2 Sr 2.87
B  0.1486  0.6250  0.2500  2 Ca 2.64, 2 Sr 2.87
B  0.3750  0.3986  0.7500  2 Ca 2.64, 2 Sr 2.87
B  0.8750  0.8514  0.7500  2 Ca 2.64, 2 Sr 2.87

Calculated values
N(E_F)	6.73	states/eV per cell
space-group type	I-42d, No. 122
magnetization	0.1	μB per formula unit

Arrangement b

Entry from Alexandria: a relaxed structure of SrCaB2 (PBE).

Unit cell a=4.8011 b=4.8011 c=4.8011 alpha=60.00 beta=60.00 gamma=60.00
Last column: nearest neighbours and their distance in Å.
Fractional positions:
Sr  0.5000  0.5000  0.5000  8 B 2.94
Ca  0.0000  0.0000  0.0000  8 B 2.94
B  0.2500  0.2500  0.2500  4 Ca 2.94, 4 Sr 2.94
B  0.7500  0.7500  0.7500  4 Sr 2.94, 4 Ca 2.94

Calculated values
N(E_F)	1.49	states/eV per cell
space-group type	Fm-3m, No. 225
magnetization	0.0	μB per formula unit

Short version: arrangement b, arrangement a, most stable first.

Arrangement a

Entry from Alexandria: a relaxed structure of CaTcB2 (PBE).

Unit cell a=4.5622 b=4.5622 c=7.4478 alpha=72.16 beta=72.16 gamma=90.00
Last column: nearest neighbours and their distance in Å.
Fractional positions:
Ca  0.5000  0.5000  0.0000  8 B 3.05, 4 Tc 3.23
Ca  0.2500  0.7500  0.5000  8 B 3.05, 4 Tc 3.23
B  0.8748  0.1250  0.2500  2 Tc 2.03
B  0.8752  0.6250  0.2500  2 Tc 2.03
B  0.3750  0.1252  0.7500  2 Tc 2.03
B  0.8750  0.1248  0.7500  2 Tc 2.03
Tc  0.0000  0.0000  0.0000  4 B 2.03
Tc  0.7500  0.2500  0.5000  4 B 2.03

Calculated values
N(E_F)	6.07	states/eV per cell
space-group type	I4_1/amd, No. 141
magnetization	0.0	μB per formula unit

Arrangement b

Entry from Alexandria: a relaxed structure of CaTcB2 (PBE).

Unit cell a=4.1380 b=4.1380 c=4.1380 alpha=60.00 beta=60.00 gamma=60.00
Last column: nearest neighbours and their distance in Å.
Fractional positions:
Ca  0.0000  0.0000  0.0000  8 B 2.53
B  0.2500  0.2500  0.2500  4 Tc 2.53, 4 Ca 2.53
B  0.7500  0.7500  0.7500  4 Tc 2.53, 4 Ca 2.53
Tc  0.5000  0.5000  0.5000  8 B 2.53

Calculated values
N(E_F)	3.20	states/eV per cell
space-group type	Fm-3m, No. 225
magnetization	0.0	μB per formula unit

Short version: arrangement a, arrangement b, most stable first.

Arrangement a

Entry from Alexandria: a relaxed structure of CaBTe3 (PBE).

Unit cell a=5.8337 b=5.8337 c=5.8337 alpha=90.00 beta=90.00 gamma=90.00
Last column: nearest neighbours and their distance in Å.
Fractional positions:
Ca  0.0000  0.0000  0.0000  6 Te 2.92
Te  0.0000  0.5000  0.0000  2 Ca 2.92
Te  0.0000  0.0000  0.5000  2 Ca 2.92
Te  0.5000  0.0000  0.0000  2 Ca 2.92
B  0.5000  0.5000  0.5000  12 Te 4.13

Calculated values
N(E_F)	8.84	states/eV per cell
space-group type	Pm-3m, No. 221
magnetization	0.0	μB per formula unit

Arrangement b

Entry from Alexandria: a relaxed structure of CaBTe3 (PBE).

Unit cell a=5.0233 b=5.0233 c=5.0233 alpha=90.00 beta=90.00 gamma=90.00
Last column: nearest neighbours and their distance in Å.
Fractional positions:
Ca  0.5000  0.5000  0.5000  12 Te 3.55
Te  0.0000  0.5000  0.0000  2 B 2.51
Te  0.0000  0.0000  0.5000  2 B 2.51
Te  0.5000  0.0000  0.0000  2 B 2.51
B  0.0000  0.0000  0.0000  6 Te 2.51

Calculated values
N(E_F)	2.82	states/eV per cell
space-group type	Pm-3m, No. 221
magnetization	0.0	μB per formula unit

Short version: arrangement b, arrangement a, most stable first.

Arrangement a

Entry from Alexandria: a relaxed structure of Ca3TiB (PBE).

Unit cell a=5.7215 b=5.7215 c=5.7215 alpha=90.00 beta=90.00 gamma=90.00
Last column: nearest neighbours and their distance in Å.
Fractional positions:
Ca  0.0000  0.5000  0.0000  2 Ti 2.86
Ca  0.0000  0.0000  0.5000  2 Ti 2.86
Ca  0.5000  0.0000  0.0000  2 Ti 2.86
B  0.5000  0.5000  0.5000  12 Ca 4.05
Ti  0.0000  0.0000  0.0000  6 Ca 2.86

Calculated values
N(E_F)	1.99	states/eV per cell
space-group type	Pm-3m, No. 221
magnetization	2.9	μB per formula unit

Arrangement b

Entry from Alexandria: a relaxed structure of Ca3TiB (PBE).

Unit cell a=5.2770 b=5.2770 c=5.2770 alpha=90.00 beta=90.00 gamma=90.00
Last column: nearest neighbours and their distance in Å.
Fractional positions:
Ca  0.0000  0.5000  0.0000  2 B 2.64
Ca  0.0000  0.0000  0.5000  2 B 2.64
Ca  0.5000  0.0000  0.0000  2 B 2.64
B  0.0000  0.0000  0.0000  6 Ca 2.64
Ti  0.5000  0.5000  0.5000  12 Ca 3.73

Calculated values
N(E_F)	7.28	states/eV per cell
space-group type	Pm-3m, No. 221
magnetization	1.0	μB per formula unit

Short version: arrangement b, arrangement a, most stable first.

Arrangement a

Entry from Alexandria: a relaxed structure of CaTiB2 (PBE).

Unit cell a=4.2307 b=4.2307 c=4.2307 alpha=60.00 beta=60.00 gamma=60.00
Last column: nearest neighbours and their distance in Å.
Fractional positions:
Ca  0.0000  0.0000  0.0000  8 B 2.59
B  0.2500  0.2500  0.2500  4 Ti 2.59, 4 Ca 2.59
B  0.7500  0.7500  0.7500  4 Ti 2.59, 4 Ca 2.59
Ti  0.5000  0.5000  0.5000  8 B 2.59

Calculated values
N(E_F)	1.49	states/eV per cell
space-group type	Fm-3m, No. 225
magnetization	0.0	μB per formula unit

Arrangement b

Entry from Alexandria: a relaxed structure of CaTiB2 (PBE).

Unit cell a=4.4509 b=4.4509 c=7.9545 alpha=73.75 beta=73.75 gamma=90.00
Last column: nearest neighbours and their distance in Å.
Fractional positions:
Ca  0.5000  0.5000  0.0000  4 B 2.82, 4 Ti 3.15
Ca  0.2500  0.7500  0.5000  4 B 2.82, 4 Ti 3.15
B  0.7879  0.1250  0.2500  2 Ti 2.17, 2 B 2.36
B  0.9621  0.6250  0.2500  2 Ti 2.17, 2 B 2.36
B  0.3750  0.2121  0.7500  2 Ti 2.17, 2 B 2.36
B  0.8750  0.0379  0.7500  2 Ti 2.17, 2 B 2.36
Ti  0.0000  0.0000  0.0000  4 B 2.17
Ti  0.7500  0.2500  0.5000  4 B 2.17

Calculated values
N(E_F)	2.16	states/eV per cell
space-group type	I-42d, No. 122
magnetization	0.0	μB per formula unit

Short version: arrangement a, arrangement b, most stable first.